Arrangement P

Density functional theory data (PBE) for CuAsCl4 after structural relaxation.

Cell: 5.5372 5.5592 11.8505 Å, 90.00 90.00 90.00°
Closest atoms and distances in Å follow each position.
Fractional coordinates of all 12 atoms:
Cu (0.0000, 0.0000, 0.0000)  4 Cl 2.35
Cu (0.5000, 0.0000, 0.5000)  4 Cl 2.35
As (0.0000, 0.0000, 0.5000)  4 Cl 2.43
As (0.0000, 0.5000, 0.0000)  4 Cl 2.43
Cl (0.2435, 0.2385, 0.1181)  1 Cu 2.35, 1 As 2.43
Cl (0.2435, 0.7615, 0.8819)  1 Cu 2.35, 1 As 2.43
Cl (0.2623, 0.2437, 0.6181)  1 Cu 2.35, 1 As 2.43
Cl (0.2623, 0.7563, 0.3819)  1 Cu 2.35, 1 As 2.43
Cl (0.7377, 0.2437, 0.3819)  1 Cu 2.35, 1 As 2.43
Cl (0.7377, 0.7563, 0.6181)  1 Cu 2.35, 1 As 2.43
Cl (0.7565, 0.2385, 0.8819)  1 Cu 2.35, 1 As 2.43
Cl (0.7565, 0.7615, 0.1181)  1 Cu 2.35, 1 As 2.43

Total magnetic moment, μB per cell: 0.33
Space group: P222
D(E_F), states/eV per cell: 0.0


Arrangement Q

Density functional theory data (PBE) for CuAsCl4 after structural relaxation.

Cell: 5.7510 5.7510 5.7510 Å, 60.00 60.00 60.00°
Closest atoms and distances in Å follow each position.
Fractional coordinates of all 6 atoms:
Cu (0.0000, 0.0000, 0.0000)  12 Cl 3.37, 4 As 3.52
As (0.7500, 0.7500, 0.7500)  12 Cl 3.37, 4 Cu 3.52
Cl (0.3745, 0.3745, 0.3745)  6 Cl 2.86-2.89
Cl (0.3745, 0.3745, 0.8765)  6 Cl 2.86-2.89
Cl (0.3745, 0.8765, 0.3745)  6 Cl 2.86-2.89
Cl (0.8765, 0.3745, 0.3745)  6 Cl 2.86-2.89

Total magnetic moment, μB per cell: 1.85
Space group: F-43m
D(E_F), states/eV per cell: 5.1


Arrangement R

Density functional theory data (PBE) for CuAsCl4 after structural relaxation.

Cell: 8.4626 8.4626 6.4509 Å, 100.96 100.96 128.65°
Closest atoms and distances in Å follow each position.
Fractional coordinates of all 12 atoms:
Cu (0.1082, 0.8918, 0.7500)  4 Cl 2.25-2.32
Cu (0.8918, 0.1082, 0.2500)  4 Cl 2.25-2.32
As (0.4848, 0.5152, 0.2500)  4 Cl 2.46-2.53
As (0.5152, 0.4848, 0.7500)  4 Cl 2.46-2.53
Cl (0.1161, 0.4031, 0.1695)  1 Cu 2.25
Cl (0.1272, 0.3034, 0.6376)  1 Cu 2.32, 1 As 2.46
Cl (0.3034, 0.1272, 0.1376)  1 Cu 2.32, 1 As 2.46
Cl (0.4031, 0.1161, 0.6695)  1 Cu 2.25
Cl (0.5969, 0.8839, 0.3305)  1 Cu 2.25
Cl (0.6966, 0.8728, 0.8624)  1 Cu 2.32, 1 As 2.46
Cl (0.8728, 0.6966, 0.3624)  1 Cu 2.32, 1 As 2.46
Cl (0.8839, 0.5969, 0.8305)  1 Cu 2.25

Total magnetic moment, μB per cell: 1.62
Space group: C2/c
D(E_F), states/eV per cell: 3.6


arrangement P ends up most stable, edging out the next structure by 33 meV/atom.


Arrangement P

Density functional theory data (PBE) for AsCl2F after structural relaxation.

Cell: 7.9455 7.9455 7.9455 Å, 141.00 141.00 56.34°
Closest atoms and distances in Å follow each position.
Fractional coordinates of all 8 atoms:
As (0.0000, 0.0000, 0.0000)  4 Cl 2.43
As (0.7500, 0.2500, 0.5000)  4 Cl 2.43
Cl (0.0717, 0.6250, 0.9467)  2 As 2.43, 2 F 2.72
Cl (0.3750, 0.3217, 0.4467)  2 As 2.43, 2 F 2.72
Cl (0.6783, 0.1250, 0.0533)  2 As 2.43, 2 F 2.72
Cl (0.8750, 0.9283, 0.5533)  2 As 2.43, 2 F 2.72
F (0.2500, 0.7500, 0.5000)  4 Cl 2.72
F (0.5000, 0.5000, 0.0000)  4 Cl 2.72

Total magnetic moment, μB per cell: 0.00
Space group: I-42d
D(E_F), states/eV per cell: 0.0


Arrangement Q

Density functional theory data (PBE) for AsCl2F after structural relaxation.

Cell: 4.4721 4.4721 4.4721 Å, 60.00 60.00 60.00°
Closest atoms and distances in Å follow each position.
Fractional coordinates of all 4 atoms:
As (0.0000, 0.0000, 0.0000)  8 Cl 2.74
Cl (0.2500, 0.2500, 0.2500)  4 As 2.74, 4 F 2.74
Cl (0.7500, 0.7500, 0.7500)  4 As 2.74, 4 F 2.74
F (0.5000, 0.5000, 0.5000)  8 Cl 2.74

Total magnetic moment, μB per cell: 0.00
Space group: Fm-3m
D(E_F), states/eV per cell: 0.0


arrangement Q ends up most stable, edging out the next structure by 114 meV/atom.


Arrangement P

Density functional theory data (PBE) for AsCl2F after structural relaxation.

Cell: 5.9692 5.9692 5.9692 Å, 139.23 100.13 93.83°
Closest atoms and distances in Å follow each position.
Fractional coordinates of all 4 atoms:
As (0.0000, 0.0000, 0.0000)  2 F 2.08, 2 Cl 2.19
Cl (0.0474, 0.8280, 0.2194)  1 As 2.19
Cl (0.6087, 0.8280, 0.7806)  1 As 2.19
F (0.0132, 0.5132, 0.5000)  2 As 2.08

Total magnetic moment, μB per cell: 0.00
Space group: Imm2
D(E_F), states/eV per cell: 0.0


Arrangement Q

Density functional theory data (PBE) for AsCl2F after structural relaxation.

Cell: 8.0065 8.0065 8.0065 Å, 25.96 25.96 25.96°
Closest atoms and distances in Å follow each position.
Fractional coordinates of all 4 atoms:
As (0.0000, 0.0000, 0.0000)  6 Cl 2.64
Cl (0.4037, 0.4037, 0.4037)  1 F 2.23
Cl (0.5963, 0.5963, 0.5963)  1 F 2.23
F (0.5000, 0.5000, 0.5000)  2 Cl 2.23

Total magnetic moment, μB per cell: 0.00
Space group: R-3m
D(E_F), states/eV per cell: 0.0


Arrangement R

Density functional theory data (PBE) for AsCl2F after structural relaxation.

Cell: 4.6889 5.6677 5.8283 Å, 78.67 71.11 79.27°
Closest atoms and distances in Å follow each position.
Fractional coordinates of all 4 atoms:
As (0.0000, 0.0000, 0.0000)  1 F 1.80
Cl (0.0566, 0.6040, 0.1080)  1 As 2.20
Cl (0.1899, 0.0211, 0.6005)  1 As 2.19
F (0.6074, 0.0322, 0.0102)  1 As 1.80

Total magnetic moment, μB per cell: 0.00
Space group: P1
D(E_F), states/eV per cell: 0.0


arrangement R ends up most stable, edging out the next structure by 51 meV/atom.


Arrangement P

Density functional theory data (PBE) for AsCl3F after structural relaxation.

Cell: 4.8980 4.8980 4.8980 Å, 90.00 90.00 90.00°
Closest atoms and distances in Å follow each position.
Fractional coordinates of all 5 atoms:
As (0.0000, 0.0000, 0.0000)  6 Cl 2.45
Cl (0.0000, 0.0000, 0.5000)  2 As 2.45
Cl (0.0000, 0.5000, 0.0000)  2 As 2.45
Cl (0.5000, 0.0000, 0.0000)  2 As 2.45
F (0.5000, 0.5000, 0.5000)  12 Cl 3.46

Total magnetic moment, μB per cell: 0.84
Space group: Pm-3m
D(E_F), states/eV per cell: 15.4


Arrangement Q

Density functional theory data (PBE) for AsCl3F after structural relaxation.

Cell: 8.4327 3.5617 8.4286 Å, 90.00 90.00 90.00°
Closest atoms and distances in Å follow each position.
Fractional coordinates of all 10 atoms:
As (0.2500, 0.0000, 0.2417)  1 F 1.81
As (0.7500, 0.0000, 0.7583)  1 F 1.81
Cl (0.0453, 0.5000, 0.2330)  2 As 2.48
Cl (0.2500, 0.0000, 0.5184)  1 As 2.33
Cl (0.4547, 0.5000, 0.2330)  2 As 2.48
Cl (0.5453, 0.5000, 0.7670)  2 As 2.48
Cl (0.7500, 0.0000, 0.4816)  1 As 2.33
Cl (0.9547, 0.5000, 0.7670)  2 As 2.48
F (0.2500, 0.0000, 0.0267)  1 As 1.81
F (0.7500, 0.0000, 0.9733)  1 As 1.81

Total magnetic moment, μB per cell: 0.68
Space group: Pmma
D(E_F), states/eV per cell: 7.4


arrangement Q ends up most stable, edging out the next structure by 512 meV/atom.